The following is a DFT calculation (PBE+U) of a geometry-optimized K2UFeO6 structure.

Summary:
As for the volume: 138.3 Å³ per cell. As for the total energy: -70.45 eV per formula unit.

abc: 5.805 5.805 5.805
angles: 120.02 120.02 89.98
Last column: magnetic moment on the atom in μB.
Atoms (fractional coordinates):
K  0.750  0.250  0.500  0.00
K  0.250  0.750  0.500  0.00
U  0.500  0.500  0.000  0.14
Fe  0.000  0.000  0.000  4.20
O  0.752  0.753  0.000  -0.06
O  0.752  0.753  0.505  -0.06
O  0.248  0.248  0.000  -0.06
O  0.752  0.248  0.000  -0.06
O  0.247  0.248  0.495  -0.06
O  0.247  0.753  0.000  -0.06